Entry 1:
A geometry-optimized SrPPb3 structure. Source: Alexandria, functional PBE.

Unit cell a=6.0612 b=6.0612 c=6.0612 alpha=90.00 beta=90.00 gamma=90.00
Space group Pm-3m (No. 221)
Unique sites:
Sr1 0.0000 0.0000 0.0000 [1 per cell]
P1 0.5000 0.5000 0.5000 [1 per cell]
Pb1 0.0000 0.0000 0.5000 [3 per cell]

Values from the calculation:
**V**: 223 Å³/cell
**Polymorph energy (0 for the lowest one)**: 1175 meV per atom
**Formation enthalpy at 0 K**: 1.250 eV per atom
**VASP energy**: -0.0880 hartree per atom

---

Entry 2:
A geometry-optimized Rb2ScPI6 structure. Source: Alexandria, functional PBE.

Unit cell a=8.9036 b=8.9036 c=11.3260 alpha=90.00 beta=90.00 gamma=90.00
Space group I4/mmm (No. 139)
Unique sites:
Rb1 0.0000 0.5000 0.2500 [4 per cell]
Sc1 0.0000 0.0000 0.0000 [2 per cell]
P1 0.0000 0.0000 0.5000 [2 per cell]
I1 0.0000 0.0000 0.2620 [4 per cell]
I2 0.2282 0.2282 0.0000 [8 per cell]

Values from the calculation:
**V**: 898 Å³/cell
**Formation energy without anion corrections**: -832 meV/atom
**VASP energy**: -0.1150 hartree per atom

---

Entry 3:
A geometry-optimized Te4Pt structure. Source: Alexandria, functional PBE.

Unit cell a=9.3382 b=9.3382 c=3.6392 alpha=90.00 beta=90.00 gamma=90.00
Space group I4/m (No. 87)
Unique sites:
Te1 0.1085 0.2113 0.0000 [8 per cell]
Pt1 0.0000 0.0000 0.5000 [2 per cell]

Values from the calculation:
**V**: 317 Å³/cell
**Polymorph energy (0 for the lowest one)**: 183 meV per atom
**Formation energy without anion corrections**: 106 meV/atom
**VASP energy**: -0.1329 hartree per atom

---

Entry 4:
A geometry-optimized Dy6CO12 structure. Source: Alexandria, functional PBE.

Unit cell a=9.6635 b=9.6635 c=9.1751 alpha=90.00 beta=90.00 gamma=120.00
Space group R-3 (No. 148, hexagonal axes)
Unique sites:
Dy1 0.0477 0.7924 0.1495 [18 per cell]
C1 0.0000 0.0000 0.5000 [3 per cell]
O1 0.0360 0.8077 0.9049 [18 per cell]
O2 0.0377 0.8756 0.3988 [18 per cell]

Values from the calculation:
**V**: 742 Å³/cell
**Formation energy without anion corrections**: -2567 meV/atom
**VASP energy**: -0.2807 hartree per atom

---

Entry 5:
A geometry-optimized Ag2GeAu structure. Source: Alexandria, functional PBE.

Unit cell a=9.9180 b=5.2366 c=5.8811 alpha=90.00 beta=105.06 gamma=90.00
Space group C2/c (No. 15)
Unique sites:
Ag1 0.2328 0.0003 0.1119 [8 per cell]
Ge1 0.0000 0.2639 0.2500 [4 per cell]
Au1 0.0000 0.2388 0.7500 [4 per cell]

Values from the calculation:
**V**: 295 Å³/cell
**Formation enthalpy at 0 K**: 0.056 eV per atom
**VASP energy**: -0.1229 hartree per atom

---

Entry 6:
A geometry-optimized AlTcTe2 structure. Source: Alexandria, functional PBE.

Unit cell a=8.6138 b=3.3195 c=7.1588 alpha=90.00 beta=101.00 gamma=90.00
Space group Cm (No. 8)
Unique sites:
Al1 0.0000 0.0000 0.0000 [2 per cell]
Tc1 0.2645 0.0000 0.8983 [2 per cell]
Te1 0.0410 0.5000 0.6796 [2 per cell]
Te2 0.2595 0.5000 0.2036 [2 per cell]

Values from the calculation:
**V**: 201 Å³/cell
**Formation energy without anion corrections**: -62 meV/atom
**VASP energy**: -0.1896 hartree per atom

---

Among the records above, which one has the lowest VASP energy? Dy6CO12